{
  "formula": "GaCu2Au6",
  "functional": "PBE-GGA",
  "state": "optimized geometry",
  "total_energy_ev_per_atom": -3.49,
  "crystal_system": "monoclinic",
  "dos_at_fermi_per_ev_cell": 2.1,
  "space_group": "No. 12",
  "formation_enthalpy_0k_ev_per_atom": -0.055,
  "vol_a3_per_cell": 150.0,
  "lattice_angstrom": [[4.528, -2.025, 0.000], [4.528, 2.025, 0.000], [-2.120, 0.000, 8.179]],
  "species": ["Ga", "Cu", "Cu", "Au", "Au", "Au", "Au", "Au", "Au"],
  "frac_coords": [[0.000, 0.000, 0.000], [0.315, 0.315, 0.765], [0.685, 0.685, 0.235], [0.009, 0.009, 0.317], [0.336, 0.336, 0.443], [0.342, 0.342, 0.097], [0.658, 0.658, 0.903], [0.664, 0.664, 0.557], [0.991, 0.991, 0.683]]
}

***

{
  "formula": "GaCu12Au3",
  "functional": "PBE-GGA",
  "state": "optimized geometry",
  "total_energy_ev_per_atom": -3.92,
  "crystal_system": "tetragonal",
  "dos_at_fermi_per_ev_cell": 5.9,
  "space_group": "No. 123",
  "formation_enthalpy_0k_ev_per_atom": -0.048,
  "vol_a3_per_cell": 213.7,
  "lattice_angstrom": [[3.792, 0.000, 0.000], [0.000, 3.792, 0.000], [0.000, 0.000, 14.862]],
  "species": ["Ga", "Cu", "Cu", "Cu", "Cu", "Cu", "Cu", "Cu", "Cu", "Cu", "Cu", "Cu", "Cu", "Au", "Au", "Au"],
  "frac_coords": [[0.000, 0.000, 0.000], [0.000, 0.500, 0.118], [0.000, 0.500, 0.373], [0.000, 0.500, 0.627], [0.000, 0.500, 0.882], [0.500, 0.000, 0.118], [0.500, 0.000, 0.373], [0.500, 0.000, 0.627], [0.500, 0.000, 0.882], [0.500, 0.500, 0.000], [0.500, 0.500, 0.245], [0.500, 0.500, 0.500], [0.500, 0.500, 0.755], [0.000, 0.000, 0.247], [0.000, 0.000, 0.500], [0.000, 0.000, 0.753]]
}

***

{
  "formula": "GaCu4Au",
  "functional": "PBE-GGA",
  "state": "optimized geometry",
  "total_energy_ev_per_atom": -3.75,
  "crystal_system": "cubic",
  "dos_at_fermi_per_ev_cell": 4.5,
  "space_group": "No. 216",
  "formation_enthalpy_0k_ev_per_atom": 0.027,
  "vol_a3_per_cell": 84.2,
  "lattice_angstrom": [[0.000, 3.479, 3.479], [3.479, 0.000, 3.479], [3.479, 3.479, 0.000]],
  "species": ["Ga", "Cu", "Cu", "Cu", "Cu", "Au"],
  "frac_coords": [[0.000, 0.000, 0.000], [0.124, 0.625, 0.625], [0.625, 0.124, 0.625], [0.625, 0.625, 0.124], [0.625, 0.625, 0.625], [0.250, 0.250, 0.250]]
}

***

{
  "formula": "Ga2Cu7Au3",
  "functional": "PBE-GGA",
  "state": "optimized geometry",
  "total_energy_ev_per_atom": -3.71,
  "crystal_system": "monoclinic",
  "dos_at_fermi_per_ev_cell": 3.6,
  "space_group": "No. 10",
  "formation_enthalpy_0k_ev_per_atom": -0.001,
  "vol_a3_per_cell": 175.0,
  "lattice_angstrom": [[4.346, 0.000, 0.000], [0.000, 2.804, 0.000], [-0.761, 0.000, 14.367]],
  "species": ["Ga", "Ga", "Cu", "Cu", "Cu", "Cu", "Cu", "Cu", "Cu", "Au", "Au", "Au"],
  "frac_coords": [[0.214, 0.000, 0.288], [0.786, 0.000, 0.712], [0.195, 0.500, 0.148], [0.242, 0.000, 0.457], [0.308, 0.000, 0.833], [0.500, 0.500, 0.000], [0.692, 0.000, 0.167], [0.758, 0.000, 0.543], [0.805, 0.500, 0.852], [0.000, 0.000, 0.000], [0.271, 0.500, 0.624], [0.729, 0.500, 0.376]]
}

***

{
  "formula": "Ga2Cu6Au",
  "functional": "PBE-GGA",
  "state": "optimized geometry",
  "total_energy_ev_per_atom": -3.77,
  "crystal_system": "orthorhombic",
  "dos_at_fermi_per_ev_cell": 3.8,
  "space_group": "No. 71",
  "formation_enthalpy_0k_ev_per_atom": -0.005,
  "vol_a3_per_cell": 123.5,
  "lattice_angstrom": [[-1.368, 3.575, 6.311], [1.368, -3.575, 6.311], [1.368, 3.575, -6.311]],
  "species": ["Ga", "Ga", "Cu", "Cu", "Cu", "Cu", "Cu", "Cu", "Au"],
  "frac_coords": [[0.151, 0.151, 0.000], [0.849, 0.849, 0.000], [0.149, 0.326, 0.823], [0.171, 0.500, 0.671], [0.498, 0.674, 0.823], [0.502, 0.326, 0.177], [0.829, 0.500, 0.329], [0.851, 0.674, 0.177], [0.500, 0.000, 0.500]]
}

***

{
  "formula": "GaCu3Au5",
  "functional": "PBE-GGA",
  "state": "optimized geometry",
  "total_energy_ev_per_atom": -3.41,
  "crystal_system": "monoclinic",
  "dos_at_fermi_per_ev_cell": 6.0,
  "space_group": "No. 12",
  "formation_enthalpy_0k_ev_per_atom": 0.114,
  "vol_a3_per_cell": 325.8,
  "lattice_angstrom": [[4.339, -3.871, 0.000], [4.339, 3.871, 0.000], [-1.033, 0.000, 9.696]],
  "species": ["Ga", "Ga", "Cu", "Cu", "Cu", "Cu", "Cu", "Cu", "Au", "Au", "Au", "Au", "Au", "Au", "Au", "Au", "Au", "Au"],
  "frac_coords": [[0.029, 0.029, 0.254], [0.971, 0.971, 0.746], [0.000, 0.000, 0.000], [0.000, 0.000, 0.500], [0.254, 0.254, 0.874], [0.268, 0.268, 0.451], [0.732, 0.732, 0.549], [0.746, 0.746, 0.126], [0.020, 0.603, 0.342], [0.275, 0.275, 0.141], [0.321, 0.679, 0.000], [0.397, 0.980, 0.658], [0.465, 0.465, 0.670], [0.535, 0.535, 0.330], [0.603, 0.020, 0.342], [0.679, 0.321, 0.000], [0.725, 0.725, 0.859], [0.980, 0.397, 0.658]]
}